# 1
Here is SrNbTc2Ru after structural relaxation from Alexandria via LeMat-Bulk. Energies are from PBE.

POSCAR file:
```
SrNbTc2Ru
1.0
-3.6286 2.7345 1.7342
-3.2142 -3.3849 -1.3880
0.4261 -2.1788 4.3270
Nb Tc Ru Sr
1 2 1 1
Direct
0.0000 0.0000 0.0000
0.5000 0.0000 0.0000
0.0000 0.0000 0.5000
0.0000 0.5000 0.0000
0.5000 0.5000 0.5000
```

Symmetry   No. 123
DFT formation energy   1.13 eV/atom
DOS(E_F)   8.29 states/eV per cell
E   -7.23 eV per atom
V   23.0 Å³/atom

# 2
Here is ThPaN3 after structural relaxation from Alexandria via LeMat-Bulk. Energies are from PBE.

POSCAR file:
```
ThPaN3
1.0
5.7651 0.0000 0.0000
0.0000 5.9778 0.0000
0.0000 -2.9889 5.1769
N Th Pa
6 2 2
Direct
0.5000 0.3010 0.3010
0.0000 0.6990 0.6990
0.5000 0.6990 0.0000
0.0000 0.3010 0.0000
0.5000 0.0000 0.6990
0.0000 0.0000 0.3010
0.2500 0.6667 0.3333
0.7500 0.3333 0.6667
0.7500 0.0000 0.0000
0.2500 0.0000 0.0000
```

Symmetry   No. 182
Energy relative to the elements, uncorrected   -1.203 eV/atom
DOS(E_F)   0.01 states/eV per cell
E   -9.58 eV per atom
V   17.8 Å³/atom